No. 1
VASP calculation (PBE) on an optimized crystal structure of NaNdGdAl.

CIF file:
```
data_NaNdGdAl
_symmetry_space_group_name_H-M 'P 1'
_symmetry_Int_Tables_number 1
_cell_length_a 5.380
_cell_length_b 5.380
_cell_length_c 5.380
_cell_angle_alpha 60.00
_cell_angle_beta 60.00
_cell_angle_gamma 60.00
loop_
_symmetry_equiv_pos_as_xyz
'x,y,z'
loop_
_atom_site_label
_atom_site_fract_x
_atom_site_fract_y
_atom_site_fract_z
_atom_site_occupancy
Na1 0.000 0.000 0.000 1
Nd1 0.750 0.750 0.750 1
Gd1 0.250 0.250 0.250 1
Al1 0.500 0.500 0.500 1
```

Spin magnetization   7.59 μB/cell
Raw total energy   -6.035 eV/atom

---

No. 2
VASP calculation (PBE) on an optimized crystal structure of NaPmGdAl.

CIF file:
```
data_NaPmGdAl
_symmetry_space_group_name_H-M 'P 1'
_symmetry_Int_Tables_number 1
_cell_length_a 5.363
_cell_length_b 5.363
_cell_length_c 5.363
_cell_angle_alpha 60.00
_cell_angle_beta 60.00
_cell_angle_gamma 60.00
loop_
_symmetry_equiv_pos_as_xyz
'x,y,z'
loop_
_atom_site_label
_atom_site_fract_x
_atom_site_fract_y
_atom_site_fract_z
_atom_site_occupancy
Na1 0.000 0.000 0.000 1
Pm1 0.750 0.750 0.750 1
Gd1 0.250 0.250 0.250 1
Al1 0.500 0.500 0.500 1
```

Spin magnetization   7.59 μB/cell
Raw total energy   -6.031 eV/atom

---

No. 3
VASP calculation (PBE) on an optimized crystal structure of GdNbAl2.

CIF file:
```
data_GdNbAl2
_symmetry_space_group_name_H-M 'P 1'
_symmetry_Int_Tables_number 1
_cell_length_a 10.073
_cell_length_b 10.073
_cell_length_c 10.073
_cell_angle_alpha 17.57
_cell_angle_beta 17.57
_cell_angle_gamma 17.57
loop_
_symmetry_equiv_pos_as_xyz
'x,y,z'
loop_
_atom_site_label
_atom_site_fract_x
_atom_site_fract_y
_atom_site_fract_z
_atom_site_occupancy
Gd1 0.000 0.000 0.000 1
Nb1 0.500 0.500 0.500 1
Al1 0.242 0.242 0.242 1
Al2 0.758 0.758 0.758 1
```

Spin magnetization   7.46 μB/cell
Relative energy among the computed polymorphs   237 meV per atom
Raw total energy   -7.927 eV/atom

---

No. 4
VASP calculation (PBE) on an optimized crystal structure of GdNbAl4.

CIF file:
```
data_GdNbAl4
_symmetry_space_group_name_H-M 'P 1'
_symmetry_Int_Tables_number 1
_cell_length_a 5.363
_cell_length_b 5.363
_cell_length_c 5.363
_cell_angle_alpha 60.00
_cell_angle_beta 60.00
_cell_angle_gamma 60.00
loop_
_symmetry_equiv_pos_as_xyz
'x,y,z'
loop_
_atom_site_label
_atom_site_fract_x
_atom_site_fract_y
_atom_site_fract_z
_atom_site_occupancy
Gd1 0.000 0.000 0.000 1
Nb1 0.250 0.250 0.250 1
Al1 0.126 0.625 0.625 1
Al2 0.625 0.126 0.625 1
Al3 0.625 0.625 0.126 1
Al4 0.625 0.625 0.625 1
```

Spin magnetization   7.07 μB/cell
Raw total energy   -6.886 eV/atom

---

No. 5
VASP calculation (PBE) on an optimized crystal structure of GdNbAl2.

CIF file:
```
data_GdNbAl2
_symmetry_space_group_name_H-M 'P 1'
_symmetry_Int_Tables_number 1
_cell_length_a 3.536
_cell_length_b 3.536
_cell_length_c 6.462
_cell_angle_alpha 90.00
_cell_angle_beta 90.00
_cell_angle_gamma 90.00
loop_
_symmetry_equiv_pos_as_xyz
'x,y,z'
loop_
_atom_site_label
_atom_site_fract_x
_atom_site_fract_y
_atom_site_fract_z
_atom_site_occupancy
Gd1 0.000 0.000 0.000 1
Nb1 0.000 0.000 0.500 1
Al1 0.500 0.500 0.299 1
Al2 0.500 0.500 0.701 1
```

Spin magnetization   6.95 μB/cell
Relative energy among the computed polymorphs   0 meV per atom
Raw total energy   -8.165 eV/atom

---

No. 6
VASP calculation (PBE) on an optimized crystal structure of NdGd2Al.

CIF file:
```
data_NdGd2Al
_symmetry_space_group_name_H-M 'P 1'
_symmetry_Int_Tables_number 1
_cell_length_a 5.429
_cell_length_b 5.429
_cell_length_c 5.429
_cell_angle_alpha 60.00
_cell_angle_beta 60.00
_cell_angle_gamma 60.00
loop_
_symmetry_equiv_pos_as_xyz
'x,y,z'
loop_
_atom_site_label
_atom_site_fract_x
_atom_site_fract_y
_atom_site_fract_z
_atom_site_occupancy
Nd1 0.000 0.000 0.000 1
Gd1 0.250 0.250 0.250 1
Gd2 0.750 0.750 0.750 1
Al1 0.500 0.500 0.500 1
```

Spin magnetization   15.95 μB/cell
Relative energy among the computed polymorphs   150 meV per atom
Raw total energy   -9.207 eV/atom

---

No. 7
VASP calculation (PBE) on an optimized crystal structure of NdGd2Al.

CIF file:
```
data_NdGd2Al
_symmetry_space_group_name_H-M 'P 1'
_symmetry_Int_Tables_number 1
_cell_length_a 4.823
_cell_length_b 4.823
_cell_length_c 4.854
_cell_angle_alpha 90.00
_cell_angle_beta 90.00
_cell_angle_gamma 90.00
loop_
_symmetry_equiv_pos_as_xyz
'x,y,z'
loop_
_atom_site_label
_atom_site_fract_x
_atom_site_fract_y
_atom_site_fract_z
_atom_site_occupancy
Nd1 0.000 0.000 0.000 1
Gd1 0.000 0.500 0.500 1
Gd2 0.500 0.000 0.500 1
Al1 0.500 0.500 0.000 1
```

Spin magnetization   15.13 μB/cell
Relative energy among the computed polymorphs   0 meV per atom
Raw total energy   -9.357 eV/atom

---

No. 8
VASP calculation (PBE) on an optimized crystal structure of NdGdAl2.

CIF file:
```
data_NdGdAl2
_symmetry_space_group_name_H-M 'P 1'
_symmetry_Int_Tables_number 1
_cell_length_a 3.681
_cell_length_b 3.681
_cell_length_c 7.354
_cell_angle_alpha 90.00
_cell_angle_beta 90.00
_cell_angle_gamma 90.00
loop_
_symmetry_equiv_pos_as_xyz
'x,y,z'
loop_
_atom_site_label
_atom_site_fract_x
_atom_site_fract_y
_atom_site_fract_z
_atom_site_occupancy
Nd1 0.000 0.000 0.000 1
Gd1 0.000 0.000 0.500 1
Al1 0.500 0.500 0.260 1
Al2 0.500 0.500 0.740 1
```

Spin magnetization   7.04 μB/cell
Relative energy among the computed polymorphs   0 meV per atom
Raw total energy   -6.961 eV/atom

---

No. 9
VASP calculation (PBE) on an optimized crystal structure of NdGd2Al.

CIF file:
```
data_NdGd2Al
_symmetry_space_group_name_H-M 'P 1'
_symmetry_Int_Tables_number 1
_cell_length_a 3.547
_cell_length_b 3.547
_cell_length_c 9.226
_cell_angle_alpha 90.00
_cell_angle_beta 90.00
_cell_angle_gamma 90.00
loop_
_symmetry_equiv_pos_as_xyz
'x,y,z'
loop_
_atom_site_label
_atom_site_fract_x
_atom_site_fract_y
_atom_site_fract_z
_atom_site_occupancy
Nd1 0.000 0.000 0.000 1
Gd1 0.500 0.500 0.289 1
Gd2 0.500 0.500 0.711 1
Al1 0.000 0.000 0.500 1
```

Spin magnetization   14.44 μB/cell
Relative energy among the computed polymorphs   4 meV per atom
Raw total energy   -9.353 eV/atom

---

No. 10
VASP calculation (PBE) on an optimized crystal structure of NdGdAl2.

CIF file:
```
data_NdGdAl2
_symmetry_space_group_name_H-M 'P 1'
_symmetry_Int_Tables_number 1
_cell_length_a 9.582
_cell_length_b 9.582
_cell_length_c 9.582
_cell_angle_alpha 22.10
_cell_angle_beta 22.10
_cell_angle_gamma 22.10
loop_
_symmetry_equiv_pos_as_xyz
'x,y,z'
loop_
_atom_site_label
_atom_site_fract_x
_atom_site_fract_y
_atom_site_fract_z
_atom_site_occupancy
Nd1 0.000 0.000 0.000 1
Gd1 0.500 0.500 0.500 1
Al1 0.248 0.248 0.248 1
Al2 0.752 0.752 0.752 1
```

Spin magnetization   7.05 μB/cell
Relative energy among the computed polymorphs   261 meV per atom
Raw total energy   -6.699 eV/atom

---

No. 11
VASP calculation (PBE) on an optimized crystal structure of NdGdAl2.

CIF file:
```
data_NdGdAl2
_symmetry_space_group_name_H-M 'P 1'
_symmetry_Int_Tables_number 1
_cell_length_a 5.206
_cell_length_b 5.206
_cell_length_c 5.206
_cell_angle_alpha 60.00
_cell_angle_beta 60.00
_cell_angle_gamma 60.00
loop_
_symmetry_equiv_pos_as_xyz
'x,y,z'
loop_
_atom_site_label
_atom_site_fract_x
_atom_site_fract_y
_atom_site_fract_z
_atom_site_occupancy
Nd1 0.000 0.000 0.000 1
Gd1 0.500 0.500 0.500 1
Al1 0.250 0.250 0.250 1
Al2 0.750 0.750 0.750 1
```

Spin magnetization   7.11 μB/cell
Relative energy among the computed polymorphs   9 meV per atom
Raw total energy   -6.951 eV/atom

---

No. 12
VASP calculation (PBE) on an optimized crystal structure of NdGd2Al.

CIF file:
```
data_NdGd2Al
_symmetry_space_group_name_H-M 'P 1'
_symmetry_Int_Tables_number 1
_cell_length_a 10.865
_cell_length_b 10.865
_cell_length_c 10.865
_cell_angle_alpha 19.10
_cell_angle_beta 19.10
_cell_angle_gamma 19.10
loop_
_symmetry_equiv_pos_as_xyz
'x,y,z'
loop_
_atom_site_label
_atom_site_fract_x
_atom_site_fract_y
_atom_site_fract_z
_atom_site_occupancy
Nd1 0.000 0.000 0.000 1
Gd1 0.239 0.239 0.239 1
Gd2 0.761 0.761 0.761 1
Al1 0.500 0.500 0.500 1
```

Spin magnetization   14.24 μB/cell
Relative energy among the computed polymorphs   132 meV per atom
Raw total energy   -9.225 eV/atom

---

No. 13
VASP calculation (PBE) on an optimized crystal structure of NdGdAlNi.

CIF file:
```
data_NdGdAlNi
_symmetry_space_group_name_H-M 'P 1'
_symmetry_Int_Tables_number 1
_cell_length_a 5.087
_cell_length_b 5.087
_cell_length_c 5.087
_cell_angle_alpha 60.00
_cell_angle_beta 60.00
_cell_angle_gamma 60.00
loop_
_symmetry_equiv_pos_as_xyz
'x,y,z'
loop_
_atom_site_label
_atom_site_fract_x
_atom_site_fract_y
_atom_site_fract_z
_atom_site_occupancy
Nd1 0.000 0.000 0.000 1
Gd1 0.500 0.500 0.500 1
Al1 0.250 0.250 0.250 1
Ni1 0.750 0.750 0.750 1
```

Spin magnetization   7.09 μB/cell
Raw total energy   -7.329 eV/atom

---

No. 14
VASP calculation (PBE) on an optimized crystal structure of NdGdAlPb.

CIF file:
```
data_NdGdAlPb
_symmetry_space_group_name_H-M 'P 1'
_symmetry_Int_Tables_number 1
_cell_length_a 5.394
_cell_length_b 5.394
_cell_length_c 5.394
_cell_angle_alpha 60.00
_cell_angle_beta 60.00
_cell_angle_gamma 60.00
loop_
_symmetry_equiv_pos_as_xyz
'x,y,z'
loop_
_atom_site_label
_atom_site_fract_x
_atom_site_fract_y
_atom_site_fract_z
_atom_site_occupancy
Nd1 0.000 0.000 0.000 1
Gd1 0.500 0.500 0.500 1
Al1 0.750 0.750 0.750 1
Pb1 0.250 0.250 0.250 1
```

Spin magnetization   7.19 μB/cell
Raw total energy   -6.931 eV/atom

---

Which energy of formation from the pure elements belongs to each record? In order, -0.23, -0.23, -0.07, -2.19, -1.02, -0.16, -0.76, -1.51, -0.74, -0.46, -1.47, -0.23, -0.94, -1.43 eV per formula unit.